Record 1
Here is Li5Ag4Pb after structural relaxation from the Alexandria database. Energies are from PBE.

Structure (POSCAR):
```
Li5Ag4Pb
1.0
3.252 0.000 0.000
0.000 3.252 0.000
0.000 0.000 16.360
Li Ag Pb
5 4 1
Direct
0.000 0.000 0.000
0.000 0.000 0.190
0.000 0.000 0.380
0.000 0.000 0.620
0.000 0.000 0.810
0.500 0.500 0.094
0.500 0.500 0.285
0.500 0.500 0.715
0.500 0.500 0.906
0.500 0.500 0.500
```

- crystal system = tetragonal
- ΔE_f (eV per formula unit) = -2.12

Record 2
Here is LaTbEuEr after structural relaxation from the Alexandria database. Energies are from PBE.

Structure (POSCAR):
```
LaTbEuEr
1.0
0.000 4.120 4.120
4.120 0.000 4.120
4.120 4.120 0.000
La Tb Eu Er
1 1 1 1
Direct
0.000 0.000 0.000
0.500 0.500 0.500
0.750 0.750 0.750
0.250 0.250 0.250
```

- crystal system = cubic
- ΔE_f (eV per formula unit) = 0.56

Record 3
Here is MnTcAs2 after structural relaxation from the Alexandria database. Energies are from PBE.

Structure (POSCAR):
```
MnTcAs2
1.0
3.268 0.000 0.000
0.000 3.268 0.000
0.000 0.000 5.688
Mn Tc As
1 1 2
Direct
0.000 0.000 0.000
0.500 0.500 0.319
0.000 0.000 0.512
0.500 0.500 0.863
```

- offset from the most stable computed form (meV/atom) = 0
- crystal system = tetragonal
- ΔE_f (eV per formula unit) = -0.43

Record 4
Here is SmScSb after structural relaxation from the Alexandria database. Energies are from PBE.

Structure (POSCAR):
```
SmScSb
1.0
4.893 0.000 0.000
-2.446 4.237 0.000
0.000 0.000 4.004
Sm Sc Sb
1 1 1
Direct
0.000 0.000 0.000
0.333 0.667 0.484
0.667 0.333 0.577
```

- ΔE_f (raw) (eV/atom) = -0.510
- crystal system = trigonal

Record 5
Here is MgNbB4 after structural relaxation from the Alexandria database. Energies are from PBE.

Structure (POSCAR):
```
MgNbB4
1.0
3.757 -2.667 0.000
3.757 2.667 0.000
-1.247 0.000 2.804
Mg Nb B
1 1 4
Direct
0.000 0.000 0.000
0.500 0.500 0.500
0.085 0.414 0.749
0.414 0.085 0.749
0.586 0.915 0.251
0.915 0.586 0.251
```

- crystal system = monoclinic
- ΔE_f (eV per formula unit) = -2.75

Record 6
Here is CrFeP2 after structural relaxation from the Alexandria database. Energies are from PBE.

Structure (POSCAR):
```
CrFeP2
1.0
1.425 0.823 7.002
-1.425 0.823 7.002
0.000 -1.645 7.002
Cr Fe P
1 1 2
Direct
0.000 0.000 0.000
0.238 0.238 0.238
0.500 0.500 0.500
0.742 0.742 0.742
```

- offset from the most stable computed form (meV/atom) = 577
- crystal system = trigonal
- ΔE_f (eV per formula unit) = 0.08

Record 7
Here is TiCuRu3 after structural relaxation from the Alexandria database. Energies are from PBE.

Structure (POSCAR):
```
TiCuRu3
1.0
4.406 0.000 0.000
0.000 4.406 0.000
0.000 0.000 4.406
Ti Cu Ru
1 1 3
Direct
0.000 0.000 0.000
0.500 0.500 0.500
0.000 0.500 0.500
0.500 0.000 0.500
0.500 0.500 0.000
```

- offset from the most stable computed form (meV/atom) = 0
- crystal system = cubic
- ΔE_f (eV per formula unit) = 6.42

Record 8
Here is HfTa2Os after structural relaxation from the Alexandria database. Energies are from PBE.

Structure (POSCAR):
```
HfTa2Os
1.0
3.898 0.000 0.000
0.000 3.898 0.000
0.000 0.000 4.740
Hf Ta Os
1 2 1
Direct
0.000 0.000 0.000
0.000 0.500 0.500
0.500 0.000 0.500
0.500 0.500 0.000
```

- crystal system = tetragonal
- ΔE_f (eV per formula unit) = -0.15

Record 9
Here is Sm12TlCd6 after structural relaxation from the Alexandria database. Energies are from PBE.

Structure (POSCAR):
```
Sm12TlCd6
1.0
7.558 4.364 2.771
-7.558 4.364 2.771
0.000 -8.728 2.771
Sm Tl Cd
12 1 6
Direct
0.029 0.300 0.171
0.171 0.029 0.300
0.237 0.605 0.667
0.300 0.171 0.029
0.333 0.763 0.395
0.395 0.333 0.763
0.605 0.667 0.237
0.667 0.237 0.605
0.700 0.829 0.971
0.763 0.395 0.333
0.829 0.971 0.700
0.971 0.700 0.829
0.500 0.500 0.500
0.078 0.855 0.554
0.145 0.446 0.922
0.446 0.922 0.145
0.554 0.078 0.855
0.855 0.554 0.078
0.922 0.145 0.446
```

- crystal system = trigonal
- ΔE_f (eV per formula unit) = -2.67

Record 10
Here is Y4ZrP after structural relaxation from the Alexandria database. Energies are from PBE.

Structure (POSCAR):
```
Y4ZrP
1.0
0.000 4.411 4.411
4.411 0.000 4.411
4.411 4.411 0.000
Y Zr P
4 1 1
Direct
0.124 0.124 0.124
0.124 0.124 0.629
0.124 0.629 0.124
0.629 0.124 0.124
0.750 0.750 0.750
0.500 0.500 0.500
```

- crystal system = cubic
- ΔE_f (eV per formula unit) = 3.42

Record 11
Here is InTeBrO4 after structural relaxation from the Alexandria database. Energies are from PBE.

Structure (POSCAR):
```
InTeBrO4
1.0
5.151 -3.535 0.000
5.151 3.535 0.000
-2.000 0.000 6.569
In Te Br O
2 2 2 8
Direct
0.227 0.227 0.118
0.773 0.773 0.882
0.368 0.368 0.718
0.632 0.632 0.282
0.032 0.032 0.761
0.968 0.968 0.239
0.132 0.514 0.877
0.251 0.251 0.457
0.452 0.452 0.275
0.486 0.868 0.123
0.514 0.132 0.877
0.548 0.548 0.725
0.749 0.749 0.543
0.868 0.486 0.123
```

- ΔE_f (raw) (eV/atom) = -0.808
- crystal system = monoclinic

Summary of magnetic moment in μB/cell
0.000; 7.877; 2.670; 0.003; 0.000; 1.390; 0.000; 0.000; 0.000; 1.867; 0.000
(order as listed above)